# 1
A plane-wave DFT calculation with GGA-PBE was carried out for crystalline Sm3CdPb3 at its relaxed geometry.

Lattice parameters (Å, degrees): 9.4163 9.4163 6.3297 90.00 90.00 120.00
Sites, in units of the cell vectors:
Sm 0.0486 0.6767 0.2500
Sm 0.3233 0.3719 0.2500
Sm 0.3719 0.0486 0.7500
Sm 0.6281 0.9514 0.2500
Sm 0.6767 0.6281 0.7500
Sm 0.9514 0.3233 0.7500
Cd 0.3333 0.6667 0.7500
Cd 0.6667 0.3333 0.2500
Pb 0.0397 0.7045 0.7500
Pb 0.2955 0.3351 0.7500
Pb 0.3351 0.0397 0.2500
Pb 0.6649 0.9603 0.7500
Pb 0.7045 0.6649 0.2500
Pb 0.9603 0.2955 0.2500

Values from the calculation:
Calculated total energy in eV/atom: -4.003
Total moment in Bohr magnetons per cell: 0.00
ΔH_f (0 K) in kJ per mole of atoms: -25.16
D(E_F) in states/eV/cell: 7.90

***

# 2
A plane-wave DFT calculation with GGA-PBE was carried out for crystalline CeNbP2Rh at its relaxed geometry.

Lattice parameters (Å, degrees): 5.9504 5.9504 5.9504 139.17 139.17 59.12
Sites, in units of the cell vectors:
Ce 0.0000 0.0000 0.0000
Nb 0.2500 0.7500 0.5000
P 0.3771 0.3771 0.0000
P 0.6229 0.6229 0.0000
Rh 0.7500 0.2500 0.5000

Values from the calculation:
Calculated total energy in eV/atom: -7.773
Total moment in Bohr magnetons per cell: 1.09
ΔH_f (0 K) in kJ per mole of atoms: -90.48
D(E_F) in states/eV/cell: 6.68

***

# 3
A plane-wave DFT calculation with GGA-PBE was carried out for crystalline KPmTcO5 at its relaxed geometry.

Lattice parameters (Å, degrees): 6.4302 6.4302 8.2831 103.23 103.23 107.03
Sites, in units of the cell vectors:
K 0.1774 0.8226 0.7500
K 0.8226 0.1774 0.2500
Pm 0.5000 0.5000 0.0000
Pm 0.5000 0.5000 0.5000
Tc 0.1772 0.8228 0.2500
Tc 0.8228 0.1772 0.7500
O 0.0949 0.2379 0.9054
O 0.1951 0.6279 0.3726
O 0.2379 0.0949 0.4054
O 0.3721 0.8049 0.1274
O 0.4231 0.5769 0.7500
O 0.5769 0.4231 0.2500
O 0.6279 0.1951 0.8726
O 0.7621 0.9051 0.5946
O 0.8049 0.3721 0.6274
O 0.9051 0.7621 0.0946

Values from the calculation:
Calculated total energy in eV/atom: -7.178
Total moment in Bohr magnetons per cell: 2.03
D(E_F) in states/eV/cell: 6.90
Energy relative to the elements, uncorrected in eV/atom: -2.05

***

# 4
A plane-wave DFT calculation with GGA-PBE was carried out for crystalline CePm2Ni4Ge3 at its relaxed geometry.

Lattice parameters (Å, degrees): 4.2521 4.2521 10.1107 90.00 90.00 90.00
Sites, in units of the cell vectors:
Ce 0.0000 0.0000 0.0000
Pm 0.0000 0.5000 0.7179
Pm 0.5000 0.0000 0.2821
Ni 0.0000 0.0000 0.5000
Ni 0.0000 0.5000 0.1485
Ni 0.5000 0.0000 0.8515
Ni 0.5000 0.5000 0.5000
Ge 0.0000 0.5000 0.3813
Ge 0.5000 0.0000 0.6187
Ge 0.5000 0.5000 0.0000

Values from the calculation:
Calculated total energy in eV/atom: -5.852
Total moment in Bohr magnetons per cell: 0.00
ΔH_f (0 K) in kJ per mole of atoms: -58.93
D(E_F) in states/eV/cell: 9.09

***

# 5
A plane-wave DFT calculation with GGA-PBE was carried out for crystalline LaMn2Tc at its relaxed geometry.

Lattice parameters (Å, degrees): 3.3793 4.5212 4.7825 90.00 90.00 90.00
Sites, in units of the cell vectors:
La 0.0000 0.0000 0.0000
Mn 0.0000 0.5000 0.5000
Mn 0.5000 0.0000 0.5000
Tc 0.5000 0.5000 0.0000

Values from the calculation:
Calculated total energy in eV/atom: -7.896
Total moment in Bohr magnetons per cell: 0.38
ΔH_f (0 K) in kJ per mole of atoms: 49.46
D(E_F) in states/eV/cell: 4.94

***

# 6
A plane-wave DFT calculation with GGA-PBE was carried out for crystalline Tc2OsCl at its relaxed geometry.

Lattice parameters (Å, degrees): 8.5838 8.5838 8.5838 18.98 18.98 18.98
Sites, in units of the cell vectors:
Tc 0.2492 0.2492 0.2492
Tc 0.7508 0.7508 0.7508
Os 0.0000 0.0000 0.0000
Cl 0.5000 0.5000 0.5000

Values from the calculation:
Calculated total energy in eV/atom: -8.166
Total moment in Bohr magnetons per cell: 0.00
D(E_F) in states/eV/cell: 2.12
Energy relative to the elements, uncorrected in eV/atom: 0.29

***

# 7
A plane-wave DFT calculation with GGA-PBE was carried out for crystalline Ca2TeW at its relaxed geometry.

Lattice parameters (Å, degrees): 6.6374 6.6374 6.6374 101.33 101.33 127.39
Sites, in units of the cell vectors:
Ca 0.1166 0.1250 0.4916
Ca 0.3750 0.8834 0.0084
Ca 0.6334 0.6250 0.5084
Ca 0.8750 0.3666 0.9916
Te 0.2500 0.7500 0.5000
Te 0.5000 0.5000 0.0000
W 0.0000 0.0000 0.0000
W 0.7500 0.2500 0.5000

Values from the calculation:
Calculated total energy in eV/atom: -4.331
Total moment in Bohr magnetons per cell: 0.00
D(E_F) in states/eV/cell: 8.87
Energy relative to the elements, uncorrected in eV/atom: 0.69

***

# 8
A plane-wave DFT calculation with GGA-PBE was carried out for crystalline MnSe3S at its relaxed geometry.

Lattice parameters (Å, degrees): 4.6411 4.6411 4.6411 90.00 90.00 90.00
Sites, in units of the cell vectors:
Mn 0.0000 0.0000 0.0000
Se 0.0000 0.0000 0.5000
Se 0.0000 0.5000 0.0000
Se 0.5000 0.0000 0.0000
S 0.5000 0.5000 0.5000

Values from the calculation:
Calculated total energy in eV/atom: -4.188
Total moment in Bohr magnetons per cell: 0.01
D(E_F) in states/eV/cell: 7.96
Energy relative to the elements, uncorrected in eV/atom: 0.56

***

# 9
A plane-wave DFT calculation with GGA-PBE was carried out for crystalline CrCdIn3 at its relaxed geometry.

Lattice parameters (Å, degrees): 5.2452 5.2452 5.2452 90.00 90.00 90.00
Sites, in units of the cell vectors:
Cr 0.0000 0.0000 0.0000
Cd 0.5000 0.5000 0.5000
In 0.0000 0.0000 0.5000
In 0.0000 0.5000 0.0000
In 0.5000 0.0000 0.0000

Values from the calculation:
Calculated total energy in eV/atom: -3.329
Total moment in Bohr magnetons per cell: 2.95
ΔH_f (0 K) in kJ per mole of atoms: 40.74
D(E_F) in states/eV/cell: 1.88

***

# 10
A plane-wave DFT calculation with GGA-PBE was carried out for crystalline Y3HPb at its relaxed geometry.

Lattice parameters (Å, degrees): 8.6067 8.6067 8.6067 42.56 42.56 42.56
Sites, in units of the cell vectors:
Y 0.1058 0.7757 0.4418
Y 0.2243 0.5582 0.8942
Y 0.4418 0.1058 0.7757
Y 0.5582 0.8942 0.2243
Y 0.7757 0.4418 0.1058
Y 0.8942 0.2243 0.5582
H 0.1671 0.1671 0.1671
H 0.8329 0.8329 0.8329
Pb 0.3338 0.3338 0.3338
Pb 0.6662 0.6662 0.6662

Values from the calculation:
Calculated total energy in eV/atom: -5.503
Total moment in Bohr magnetons per cell: 0.58
D(E_F) in states/eV/cell: 13.84

***

# 11
A plane-wave DFT calculation with GGA-PBE was carried out for crystalline SmTlSe2O8 at its relaxed geometry.

Lattice parameters (Å, degrees): 5.5256 5.5256 8.6264 91.22 91.22 64.40
Sites, in units of the cell vectors:
Sm 0.0000 0.0000 0.0000
Tl 0.0000 0.0000 0.5000
Se 0.3612 0.3612 0.2236
Se 0.6388 0.6388 0.7764
O 0.2326 0.6950 0.1956
O 0.2347 0.2347 0.0825
O 0.2983 0.2983 0.3996
O 0.3050 0.7674 0.8044
O 0.6950 0.2326 0.1956
O 0.7017 0.7017 0.6004
O 0.7653 0.7653 0.9175
O 0.7674 0.3050 0.8044

Values from the calculation:
Calculated total energy in eV/atom: -5.837
Total moment in Bohr magnetons per cell: 0.00
D(E_F) in states/eV/cell: 0.00
Energy relative to the elements, uncorrected in eV/atom: -1.36

***

# 12
A plane-wave DFT calculation with GGA-PBE was carried out for crystalline LiTb2Pu3Se6 at its relaxed geometry.

Lattice parameters (Å, degrees): 9.1932 9.1932 8.2120 102.51 102.51 25.85
Sites, in units of the cell vectors:
Li 0.0000 0.0000 0.0000
Tb 0.3344 0.3344 0.6657
Tb 0.6656 0.6656 0.3343
Pu 0.0000 0.0000 0.5000
Pu 0.3333 0.3333 0.1642
Pu 0.6667 0.6667 0.8358
Se 0.1638 0.1638 0.0854
Se 0.1678 0.1678 0.5833
Se 0.4985 0.4985 0.7576
Se 0.5015 0.5015 0.2424
Se 0.8322 0.8322 0.4167
Se 0.8362 0.8362 0.9146

Values from the calculation:
Calculated total energy in eV/atom: -7.850
Total moment in Bohr magnetons per cell: 5.83
D(E_F) in states/eV/cell: 35.16
Energy relative to the elements, uncorrected in eV/atom: -1.59

***

# 13
A plane-wave DFT calculation with GGA-PBE was carried out for crystalline ZrZn2GeBi at its relaxed geometry.

Lattice parameters (Å, degrees): 5.2082 5.2082 5.6152 90.00 90.00 90.00
Sites, in units of the cell vectors:
Zr 0.0000 0.0000 0.0000
Zn 0.0000 0.5000 0.0000
Zn 0.5000 0.0000 0.0000
Ge 0.5000 0.5000 0.5000
Bi 0.0000 0.0000 0.5000

Values from the calculation:
Calculated total energy in eV/atom: -3.132
Total moment in Bohr magnetons per cell: 0.00
ΔH_f (0 K) in kJ per mole of atoms: 75.95
D(E_F) in states/eV/cell: 3.18

***

# 14
A plane-wave DFT calculation with GGA-PBE was carried out for crystalline LiZr3Bi at its relaxed geometry.

Lattice parameters (Å, degrees): 4.8067 4.8067 4.8067 90.00 90.00 90.00
Sites, in units of the cell vectors:
Li 0.0000 0.0000 0.0000
Zr 0.0000 0.0000 0.5000
Zr 0.0000 0.5000 0.0000
Zr 0.5000 0.0000 0.0000
Bi 0.5000 0.5000 0.5000

Values from the calculation:
Calculated total energy in eV/atom: -5.895
Total moment in Bohr magnetons per cell: 0.00
ΔH_f (0 K) in kJ per mole of atoms: 37.89
D(E_F) in states/eV/cell: 5.45

***

# 15
A plane-wave DFT calculation with GGA-PBE was carried out for crystalline BaSi2Cl at its relaxed geometry.

Lattice parameters (Å, degrees): 4.0782 4.0782 8.7867 102.82 102.82 60.02
Sites, in units of the cell vectors:
Ba 0.0000 0.0000 0.0000
Si 0.4444 0.4444 0.3483
Si 0.7598 0.7598 0.2921
Cl 0.2633 0.2633 0.7801

Values from the calculation:
Calculated total energy in eV/atom: -4.374
Total moment in Bohr magnetons per cell: 0.00
D(E_F) in states/eV/cell: 1.31
Energy relative to the elements, uncorrected in eV/atom: -0.72

***

# 16
A plane-wave DFT calculation with GGA-PBE was carried out for crystalline PmTe2 at its relaxed geometry.

Lattice parameters (Å, degrees): 9.1050 4.4903 8.9989 90.00 90.01 90.00
Sites, in units of the cell vectors:
Pm 0.2284 0.2493 0.1249
Pm 0.2284 0.2507 0.6249
Pm 0.7716 0.7493 0.3751
Pm 0.7716 0.7507 0.8751
Te 0.1298 0.7499 0.3750
Te 0.1298 0.7501 0.8750
Te 0.4992 0.7489 0.1250
Te 0.4992 0.7511 0.6250
Te 0.5008 0.2489 0.3750
Te 0.5008 0.2511 0.8750
Te 0.8702 0.2499 0.1250
Te 0.8702 0.2501 0.6250

Values from the calculation:
Calculated total energy in eV/atom: -4.925
Total moment in Bohr magnetons per cell: 0.00
D(E_F) in states/eV/cell: 2.47
Energy relative to the elements, uncorrected in eV/atom: -1.25

***

# 17
A plane-wave DFT calculation with GGA-PBE was carried out for crystalline ThAg2Te3 at its relaxed geometry.

Lattice parameters (Å, degrees): 8.0857 4.4751 11.6913 90.00 101.97 90.00
Sites, in units of the cell vectors:
Th 0.2378 0.2500 0.2054
Th 0.7622 0.7500 0.7946
Ag 0.0628 0.2500 0.9188
Ag 0.4306 0.7500 0.4167
Ag 0.5694 0.2500 0.5833
Ag 0.9372 0.7500 0.0812
Te 0.0668 0.7500 0.3274
Te 0.2734 0.7500 0.0080
Te 0.4047 0.7500 0.6631
Te 0.5953 0.2500 0.3369
Te 0.7266 0.2500 0.9920
Te 0.9332 0.2500 0.6726

Values from the calculation:
Calculated total energy in eV/atom: -4.351
Total moment in Bohr magnetons per cell: 0.00
Energy relative to the elements, uncorrected in eV/atom: -0.59

***

# 18
A plane-wave DFT calculation with GGA-PBE was carried out for crystalline PmTlCd3 at its relaxed geometry.

Lattice parameters (Å, degrees): 7.7878 7.7878 5.8049 90.00 90.00 112.24
Sites, in units of the cell vectors:
Pm 0.2254 0.7746 0.7500
Pm 0.7746 0.2254 0.2500
Tl 0.4742 0.5258 0.7500
Tl 0.5258 0.4742 0.2500
Cd 0.0000 0.0000 0.0000
Cd 0.0000 0.0000 0.5000
Cd 0.0106 0.6435 0.2500
Cd 0.3565 0.9894 0.2500
Cd 0.6435 0.0106 0.7500
Cd 0.9894 0.3565 0.7500

Values from the calculation:
Calculated total energy in eV/atom: -1.866
Total moment in Bohr magnetons per cell: 0.00
ΔH_f (0 K) in kJ per mole of atoms: 10.24
D(E_F) in states/eV/cell: 6.65

***

# 19
A plane-wave DFT calculation with GGA-PBE was carried out for crystalline TiCrW2 at its relaxed geometry.

Lattice parameters (Å, degrees): 4.3805 4.3805 3.0920 90.00 90.00 90.00
Sites, in units of the cell vectors:
Ti 0.0000 0.0000 0.0000
Cr 0.5000 0.5000 0.0000
W 0.0000 0.5000 0.5000
W 0.5000 0.0000 0.5000

Values from the calculation:
Calculated total energy in eV/atom: -10.805
Total moment in Bohr magnetons per cell: 0.00
ΔH_f (0 K) in kJ per mole of atoms: 4.91
D(E_F) in states/eV/cell: 4.21

***

# 20
A plane-wave DFT calculation with GGA-PBE was carried out for crystalline BaLaSiN3 at its relaxed geometry.

Lattice parameters (Å, degrees): 6.8662 6.8662 7.8967 106.34 106.34 33.59
Sites, in units of the cell vectors:
Ba 0.1434 0.1434 0.0709
Ba 0.8566 0.8566 0.9291
La 0.1499 0.1499 0.5757
La 0.8501 0.8501 0.4243
Si 0.4976 0.4976 0.7210
Si 0.5024 0.5024 0.2790
N 0.0030 0.0030 0.2932
N 0.3551 0.3551 0.6584
N 0.3611 0.3611 0.2029
N 0.6389 0.6389 0.7971
N 0.6449 0.6449 0.3416
N 0.9970 0.9970 0.7068

Values from the calculation:
Calculated total energy in eV/atom: -6.981
Total moment in Bohr magnetons per cell: 0.00
D(E_F) in states/eV/cell: 4.44
Energy relative to the elements, uncorrected in eV/atom: -0.77

***

Calculated density values (in g cm⁻³) by entry order: 8.097; 7.406; 3.979; 8.019; 7.881; 11.970; 6.244; 5.380; 5.855; 5.971; 4.480; 8.613; 5.491; 7.321; 3.107; 7.225; 6.665; 6.998; 13.086; 5.843.